! Hg2Br, optimized geometry, DFT PBE; values from VASP
&SYSTEM
  ibrav = 0, nat = 6, ntyp = 2
/
ATOMIC_SPECIES
Br 79.90 Br.upf
Hg 200.59 Hg.upf
ATOMIC_POSITIONS crystal
Br 0.000 0.000 0.250
Br 0.000 0.000 0.750
Hg 0.667 0.333 0.429
Hg 0.333 0.667 0.929
Hg 0.333 0.667 0.571
Hg 0.667 0.333 0.071
CELL_PARAMETERS angstrom
-0.871 3.000 2.915
1.079 -3.941 1.247
10.955 3.044 0.140
! E above lowest polymorph	62	meV per atom
! space-group type	P6_3/mmc
! uncorrected formation energy	-0.182	eV/atom

! Hg3Br, optimized geometry, DFT PBE; values from VASP
&SYSTEM
  ibrav = 0, nat = 4, ntyp = 2
/
ATOMIC_SPECIES
Hg 200.59 Hg.upf
Br 79.90 Br.upf
ATOMIC_POSITIONS crystal
Hg 0.239 0.655 0.478
Hg 0.500 0.417 0.000
Hg 0.761 0.178 0.522
Br 0.000 0.917 0.000
CELL_PARAMETERS angstrom
-1.515 3.442 -1.731
1.112 -2.528 -5.998
-3.880 -2.253 3.865
! E above lowest polymorph	17	meV per atom
! space-group type	Immm
! uncorrected formation energy	-0.131	eV/atom

! HgBr, optimized geometry, DFT PBE; values from VASP
&SYSTEM
  ibrav = 0, nat = 16, ntyp = 2
/
ATOMIC_SPECIES
Hg 200.59 Hg.upf
Br 79.90 Br.upf
ATOMIC_POSITIONS crystal
Hg 0.379 0.379 0.379
Hg 0.379 0.621 0.621
Hg 0.621 0.379 0.621
Hg 0.621 0.621 0.379
Hg 0.879 0.879 0.879
Hg 0.879 0.121 0.121
Hg 0.121 0.879 0.121
Hg 0.121 0.121 0.879
Br 0.210 0.210 0.210
Br 0.210 0.790 0.790
Br 0.790 0.210 0.790
Br 0.790 0.790 0.210
Br 0.710 0.710 0.710
Br 0.710 0.290 0.290
Br 0.290 0.710 0.290
Br 0.290 0.290 0.710
CELL_PARAMETERS angstrom
-7.714 -4.125 -2.263
4.697 -6.500 -4.163
0.273 -4.731 7.694
! E above lowest polymorph	219	meV per atom
! space-group type	I-43m
! uncorrected formation energy	-0.187	eV/atom

! HgBr3, optimized geometry, DFT PBE; values from VASP
&SYSTEM
  ibrav = 0, nat = 16, ntyp = 2
/
ATOMIC_SPECIES
Hg 200.59 Hg.upf
Br 79.90 Br.upf
ATOMIC_POSITIONS crystal
Hg 0.000 0.000 0.000
Hg 0.000 0.000 0.500
Hg 0.333 0.667 0.250
Hg 0.667 0.333 0.750
Br 0.500 0.000 0.000
Br 0.500 0.000 0.500
Br 0.000 0.500 0.000
Br 0.500 0.500 0.000
Br 0.500 0.500 0.500
Br 0.000 0.500 0.500
Br 0.861 0.722 0.250
Br 0.139 0.278 0.750
Br 0.278 0.139 0.250
Br 0.861 0.139 0.250
Br 0.139 0.861 0.750
Br 0.722 0.861 0.750
CELL_PARAMETERS angstrom
-5.665 -1.671 6.269
0.717 -5.366 -6.699
5.293 -3.950 3.730
! space-group type	P6_3/mmc
! uncorrected formation energy	0.074	eV/atom

! Hg24Br5, optimized geometry, DFT PBE; values from VASP
&SYSTEM
  ibrav = 0, nat = 29, ntyp = 2
/
ATOMIC_SPECIES
Br 79.90 Br.upf
Hg 200.59 Hg.upf
ATOMIC_POSITIONS crystal
Br 0.000 0.619 0.000
Br 0.619 0.000 0.000
Br 0.000 0.000 0.619
Br 0.381 0.381 0.381
Br 0.000 0.000 0.000
Hg 0.183 0.354 0.000
Hg 0.354 0.183 0.000
Hg 0.817 0.817 0.171
Hg 0.646 0.646 0.829
Hg 0.817 0.171 0.817
Hg 0.646 0.829 0.646
Hg 0.354 0.000 0.183
Hg 0.183 0.000 0.354
Hg 0.000 0.354 0.183
Hg 0.000 0.183 0.354
Hg 0.829 0.646 0.646
Hg 0.171 0.817 0.817
Hg 0.664 0.356 0.000
Hg 0.356 0.664 0.000
Hg 0.336 0.336 0.692
Hg 0.644 0.644 0.308
Hg 0.336 0.692 0.336
Hg 0.644 0.308 0.644
Hg 0.356 0.000 0.664
Hg 0.664 0.000 0.356
Hg 0.000 0.356 0.664
Hg 0.000 0.664 0.356
Hg 0.308 0.644 0.644
Hg 0.692 0.336 0.336
CELL_PARAMETERS angstrom
-5.458 8.686 0.539
-2.898 -5.357 -8.272
-1.636 -5.603 8.453
! space-group type	I-43m
! uncorrected formation energy	-0.049	eV/atom

! HgBr, optimized geometry, DFT PBE; values from VASP
&SYSTEM
  ibrav = 0, nat = 4, ntyp = 2
/
ATOMIC_SPECIES
Hg 200.59 Hg.upf
Br 79.90 Br.upf
ATOMIC_POSITIONS crystal
Hg 0.298 0.298 0.298
Hg 0.702 0.702 0.702
Br 0.098 0.098 0.098
Br 0.902 0.902 0.902
CELL_PARAMETERS angstrom
0.951 0.480 9.223
4.780 0.589 7.938
2.569 3.970 7.990
! E above lowest polymorph	140	meV per atom
! space-group type	R-3m
! uncorrected formation energy	-0.265	eV/atom

Sequential DOS at the Fermi energy output: 2.4 0.7 2.8 24.8 2.9 0.7 states/eV per cell